# SrIr2 | Alexandria via LeMat-Bulk | PBE | relaxed
# crystal system = cubic
# DFT total energy = -4.98 eV per atom
# ΔE_f = 1.49 eV/atom
# N(E_F) = 1.71 states/eV/f.u.
data_SrIr2
_chemical_formula_sum 'Sr4 Ir8'
_cell_length_a 6.9851
_cell_length_b 6.9851
_cell_length_c 6.9851
_cell_angle_alpha 90.00
_cell_angle_beta 90.00
_cell_angle_gamma 90.00
_symmetry_space_group_name_H-M 'P a -3'
_symmetry_Int_Tables_number 205
_symmetry_space_group_name_Hall '-P 2ac 2ab 3'
loop_
_atom_site_label
_atom_site_type_symbol
_atom_site_fract_x
_atom_site_fract_y
_atom_site_fract_z
Sr1 Sr 0.0000 0.0000 0.0000
Ir1 Ir 0.0964 0.5964 0.9036